1.
# SrZn2Ni2 (PBE, relaxed)
data_SrZn2Ni2
_chemical_formula_sum 'Sr8 Zn16 Ni16'
_cell_length_a 5.564
_cell_length_b 10.562
_cell_length_c 12.761
_cell_angle_alpha 90.00
_cell_angle_beta 90.00
_cell_angle_gamma 90.00
_symmetry_space_group_name_H-M 'F d d d'
_symmetry_Int_Tables_number 70
loop_
_symmetry_equiv_pos_as_xyz
'x,y,z'
'-x,-y,-z'
'-x+1/4,-y+1/4,z'
'x+1/4,y+1/4,-z'
'x,-y+1/4,-z+1/4'
'-x,y+1/4,z+1/4'
'-x+1/4,y,-z+1/4'
'x+1/4,-y,z+1/4'
'x,y+1/2,z+1/2'
'-x,-y+1/2,-z+1/2'
'-x+1/4,-y+3/4,z+1/2'
'x+1/4,y+3/4,-z+1/2'
'x,-y+3/4,-z+3/4'
'-x,y+3/4,z+3/4'
'-x+1/4,y+1/2,-z+3/4'
'x+1/4,-y+1/2,z+3/4'
'x+1/2,y,z+1/2'
'-x+1/2,-y,-z+1/2'
'-x+3/4,-y+1/4,z+1/2'
'x+3/4,y+1/4,-z+1/2'
'x+1/2,-y+1/4,-z+3/4'
'-x+1/2,y+1/4,z+3/4'
'-x+3/4,y,-z+3/4'
'x+3/4,-y,z+3/4'
'x+1/2,y+1/2,z'
'-x+1/2,-y+1/2,-z'
'-x+3/4,-y+3/4,z'
'x+3/4,y+3/4,-z'
'x+1/2,-y+3/4,-z+1/4'
'-x+1/2,y+3/4,z+1/4'
'-x+3/4,y+1/2,-z+1/4'
'x+3/4,-y+1/2,z+1/4'
loop_
_atom_site_label
_atom_site_fract_x
_atom_site_fract_y
_atom_site_fract_z
Sr1 0.125 0.125 0.125
Zn1 0.125 0.317 0.625
Ni1 0.125 0.125 0.522
# Crystal system = orthorhombic
# Distance to the lowest polymorph of the same formula = 0 meV per atom
# E_form = -0.16 eV/atom

2.
# Mg2CrNi (PBE, relaxed)
data_Mg2CrNi
_chemical_formula_sum 'Mg2 Cr1 Ni1'
_cell_length_a 2.955
_cell_length_b 4.295
_cell_length_c 5.494
_cell_angle_alpha 90.00
_cell_angle_beta 105.58
_cell_angle_gamma 90.00
_symmetry_space_group_name_H-M 'P 1 m 1'
_symmetry_Int_Tables_number 6
loop_
_symmetry_equiv_pos_as_xyz
'x,y,z'
'x,-y,z'
loop_
_atom_site_label
_atom_site_fract_x
_atom_site_fract_y
_atom_site_fract_z
Mg1 0.000 0.000 0.000
Mg2 0.338 0.500 0.670
Cr1 0.732 0.000 0.451
Ni1 0.601 0.500 0.212
# Crystal system = monoclinic
# Distance to the lowest polymorph of the same formula = 68 meV per atom
# E_form = 0.25 eV/atom

3.
# Fe2SiBr (PBE, relaxed)
data_Fe2SiBr
_chemical_formula_sum 'Fe8 Si4 Br4'
_cell_length_a 5.981
_cell_length_b 5.981
_cell_length_c 5.981
_cell_angle_alpha 90.00
_cell_angle_beta 90.00
_cell_angle_gamma 90.00
_symmetry_space_group_name_H-M 'F m -3 m'
_symmetry_Int_Tables_number 225
_symmetry_space_group_name_Hall '-F 4 2 3'
loop_
_atom_site_label
_atom_site_fract_x
_atom_site_fract_y
_atom_site_fract_z
Fe1 0.250 0.250 0.250
Si1 0.000 0.000 0.000
Br1 0.000 0.000 0.500
# Crystal system = cubic
# Distance to the lowest polymorph of the same formula = 533 meV per atom